Density functional theory data (PBE+U) for CoNiP2O after structural relaxation.

## Properties
total moment: 2.58 μB/cell
energy relative to the lowest polymorph listed for this composition: 133 kJ/mol of formula units
SG: P4/mmm
calculated density: 4.61 Mg/m³

abc: 4.536 4.536 3.426
angles: 90.00 90.00 90.00
Positions (direct):
Ni 0.000 0.000 0.000
Co 0.500 0.500 0.500
O 0.000 0.000 0.500
P 0.000 0.500 0.000
P 0.500 0.000 0.000